! AlFe2Ir SCAN single point on PBEsol structure; values from VASP
&SYSTEM
  ibrav = 0, nat = 4, ntyp = 3
/
ATOMIC_SPECIES
Fe 55.84 Fe.upf
Ir 192.22 Ir.upf
Al 26.98 Al.upf
CELL_PARAMETERS angstrom
2.669 0.000 0.000
0.000 2.669 0.000
0.000 0.000 6.572
ATOMIC_POSITIONS angstrom
Fe 0.000 0.000 4.873
Fe 0.000 0.000 1.699
Ir 1.334 1.334 0.000
Al 1.334 1.334 3.286
! Calculated volume   11.7 Å³ per atom
! E_tot   -115.1 eV per cell
! M_tot   0.00 μB/f.u.
! Density   11.7 Mg/m³
! Energy relative to the elements   -0.010 eV/atom